[1]
The following is a DFT calculation (meta-GGA SCAN) of a PBEsol-optimized structure of Na2UF8.

Summary:
Its density of states at the Fermi level is 0.0 states/eV per cell. As for the space-group type: I4/mmm. The density comes out at 4.5 g/cm3. The value obtained for the raw formation energy is -3.27 eV/atom. The calculation puts the total energy at -176.22 eV for the cell shown. As for the magnetization: 0.00 μB per cell.

CIF file:
```
data_Na2UF8
_symmetry_space_group_name_H-M 'P 1'
_symmetry_Int_Tables_number 1
_cell_length_a 5.5239
_cell_length_b 5.5239
_cell_length_c 6.5252
_cell_angle_alpha 115.04
_cell_angle_beta 115.04
_cell_angle_gamma 90.00
loop_
_symmetry_equiv_pos_as_xyz
'x,y,z'
loop_
_atom_site_label
_atom_site_type_symbol
_atom_site_fract_x
_atom_site_fract_y
_atom_site_fract_z
Na1 Na 0.7500 0.2500 0.5000
F1 F 0.1024 0.1024 0.7642
F2 F 0.3382 0.8976 0.2358
Na2 Na 0.2500 0.7500 0.5000
F3 F 0.6618 0.1024 0.7642
F4 F 0.6618 0.6618 0.7642
F5 F 0.8976 0.8976 0.2358
F6 F 0.8976 0.3382 0.2358
F7 F 0.1024 0.6618 0.7642
F8 F 0.3382 0.3382 0.2358
U1 U 0.0000 0.0000 0.0000
```



[2]
The following is a DFT calculation (meta-GGA SCAN) of a PBEsol-optimized structure of Na3VF6.

Summary:
As for the space-group type: P2_1/c. The density comes out at 3.1 g/cm3. The value obtained for the raw formation energy is -3.12 eV/atom. The calculation puts the total energy at -165.07 eV for the cell shown. As for the magnetization: 4.00 μB per cell.

CIF file:
```
data_Na3VF6
_symmetry_space_group_name_H-M 'P 1'
_symmetry_Int_Tables_number 1
_cell_length_a 5.4805
_cell_length_b 5.7311
_cell_length_c 7.9238
_cell_angle_alpha 90.00
_cell_angle_beta 90.57
_cell_angle_gamma 90.00
loop_
_symmetry_equiv_pos_as_xyz
'x,y,z'
loop_
_atom_site_label
_atom_site_type_symbol
_atom_site_fract_x
_atom_site_fract_y
_atom_site_fract_z
F1 F 0.8310 0.2787 0.0745
F2 F 0.2120 0.6791 0.5532
F3 F 0.1209 0.9411 0.2271
Na1 Na 0.0185 0.4403 0.7435
Na2 Na 0.5185 0.0597 0.2435
Na3 Na 0.9815 0.5597 0.2565
V1 V 0.5000 0.5000 0.5000
V2 V 0.0000 0.0000 0.0000
F4 F 0.6209 0.5589 0.7271
Na4 Na 0.5000 0.5000 0.0000
F5 F 0.7880 0.3209 0.4468
F6 F 0.8791 0.0589 0.7729
F7 F 0.3310 0.2213 0.5745
Na5 Na 0.0000 0.0000 0.5000
Na6 Na 0.4815 0.9403 0.7565
F8 F 0.1690 0.7213 0.9255
F9 F 0.7120 0.8209 0.0532
F10 F 0.3791 0.4411 0.2729
F11 F 0.6690 0.7787 0.4255
F12 F 0.2880 0.1791 0.9468
```



[3]
The following is a DFT calculation (meta-GGA SCAN) of a PBEsol-optimized structure of NaVF4.

Summary:
As for the space-group type: P2_1/c. The density comes out at 3.2 g/cm3. The value obtained for the raw formation energy is -3.18 eV/atom. The calculation puts the total energy at -219.73 eV for the cell shown. As for the magnetization: 8.00 μB per cell.

CIF file:
```
data_NaVF4
_symmetry_space_group_name_H-M 'P 1'
_symmetry_Int_Tables_number 1
_cell_length_a 5.3456
_cell_length_b 7.5033
_cell_length_c 7.9731
_cell_angle_alpha 102.80
_cell_angle_beta 90.00
_cell_angle_gamma 90.00
loop_
_symmetry_equiv_pos_as_xyz
'x,y,z'
loop_
_atom_site_label
_atom_site_type_symbol
_atom_site_fract_x
_atom_site_fract_y
_atom_site_fract_z
Na1 Na 0.7194 0.3986 0.6182
F1 F 0.9995 0.6290 0.6639
Na2 Na 0.2194 0.1014 0.3818
F2 F 0.0228 0.7074 0.0135
F3 F 0.9772 0.2926 0.9865
F4 F 0.4772 0.2074 0.0135
F5 F 0.3505 0.4532 0.8239
F6 F 0.4995 0.8710 0.3361
F7 F 0.9820 0.8114 0.3604
V1 V 0.2544 0.7044 0.8266
F8 F 0.1495 0.9532 0.8239
F9 F 0.4820 0.6886 0.6396
F10 F 0.0180 0.1886 0.6396
V2 V 0.7544 0.7956 0.1734
V3 V 0.2456 0.2044 0.8266
F11 F 0.6495 0.5468 0.1761
F12 F 0.5005 0.1290 0.6639
F13 F 0.8505 0.0468 0.1761
Na3 Na 0.7806 0.8986 0.6182
F14 F 0.5180 0.3114 0.3604
Na4 Na 0.2806 0.6014 0.3818
F15 F 0.0005 0.3710 0.3361
V4 V 0.7456 0.2956 0.1734
F16 F 0.5228 0.7926 0.9865
```



[4]
The following is a DFT calculation (meta-GGA SCAN) of a PBEsol-optimized structure of NaV3F10.

Summary:
Its density of states at the Fermi level is 2.1 states/eV per cell. As for the space-group type: Fdd2. The density comes out at 3.3 g/cm3. The value obtained for the raw formation energy is -3.20 eV/atom. The calculation puts the total energy at -273.73 eV for the cell shown. As for the magnetization: 12.00 μB per cell.

CIF file:
```
data_NaV3F10
_symmetry_space_group_name_H-M 'P 1'
_symmetry_Int_Tables_number 1
_cell_length_a 7.4223
_cell_length_b 7.4237
_cell_length_c 8.6329
_cell_angle_alpha 102.41
_cell_angle_beta 115.46
_cell_angle_gamma 60.01
loop_
_symmetry_equiv_pos_as_xyz
'x,y,z'
loop_
_atom_site_label
_atom_site_type_symbol
_atom_site_fract_x
_atom_site_fract_y
_atom_site_fract_z
Na1 Na 0.0066 0.0000 0.0000
F1 F 0.3826 0.9999 0.7531
F2 F 0.4643 0.7050 0.5070
F3 F 0.6294 0.0001 0.2469
F4 F 0.2073 0.2050 0.9930
F5 F 0.6325 0.5001 0.2531
V1 V 0.2589 0.0001 0.5047
F6 F 0.6623 0.2950 0.4930
V2 V 0.5064 0.0000 0.0000
V3 V 0.0042 0.5001 0.9953
F7 F 0.7986 0.7951 0.9931
F8 F 0.1436 0.0005 0.2721
V4 V 0.7543 0.9999 0.4953
V5 V 0.5090 0.4999 0.0047
Na2 Na 0.2566 0.5000 0.5000
F9 F 0.3941 0.4995 0.7721
F10 F 0.1215 0.5005 0.2279
V6 V 0.7564 0.5000 0.5000
F11 F 0.8437 0.7049 0.4931
F12 F 0.6006 0.2049 0.0069
F13 F 0.4193 0.7950 0.0070
F14 F 0.0511 0.9099 0.4989
F15 F 0.0555 0.2951 0.5069
F16 F 0.8720 0.9995 0.7279
F17 F 0.8795 0.4999 0.7469
F18 F 0.2111 0.5901 0.9989
F19 F 0.4621 0.0901 0.5011
F20 F 0.8022 0.4099 0.0011
```



[5]
The following is a DFT calculation (meta-GGA SCAN) of a PBEsol-optimized structure of NaZr2VF11.

Summary:
As for the space-group type: C2/m. The density comes out at 3.6 g/cm3. The value obtained for the raw formation energy is -3.70 eV/atom. The calculation puts the total energy at -177.49 eV for the cell shown. As for the magnetization: 3.00 μB per cell.

CIF file:
```
data_NaZr2VF11
_symmetry_space_group_name_H-M 'P 1'
_symmetry_Int_Tables_number 1
_cell_length_a 5.6707
_cell_length_b 5.6707
_cell_length_c 7.7672
_cell_angle_alpha 69.17
_cell_angle_beta 69.17
_cell_angle_gamma 72.79
loop_
_symmetry_equiv_pos_as_xyz
'x,y,z'
loop_
_atom_site_label
_atom_site_type_symbol
_atom_site_fract_x
_atom_site_fract_y
_atom_site_fract_z
F1 F 0.5000 0.5000 0.5000
F2 F 0.2179 0.8096 0.6896
F3 F 0.7534 0.7534 0.6438
F4 F 0.2671 0.2671 0.8904
V1 V 0.0000 0.0000 0.5000
Zr1 Zr 0.5058 0.5058 0.7644
Zr2 Zr 0.4942 0.4942 0.2356
F5 F 0.3285 0.6715 0.0000
Na1 Na 0.0000 0.0000 0.0000
F6 F 0.8096 0.2179 0.6896
F7 F 0.2466 0.2466 0.3562
F8 F 0.6715 0.3285 0.0000
F9 F 0.1904 0.7821 0.3104
F10 F 0.7329 0.7329 0.1096
F11 F 0.7821 0.1904 0.3104
```



[6]
The following is a DFT calculation (meta-GGA SCAN) of a PBEsol-optimized structure of NaYF4.

Summary:
Its density of states at the Fermi level is 0.0 states/eV per cell. As for the space-group type: I4_1/amd. The density comes out at 4.0 g/cm3. The value obtained for the raw formation energy is -3.97 eV/atom. The calculation puts the total energy at -140.06 eV for the cell shown. As for the magnetization: 0.00 μB per cell.

CIF file:
```
data_NaYF4
_symmetry_space_group_name_H-M 'P 1'
_symmetry_Int_Tables_number 1
_cell_length_a 5.4032
_cell_length_b 5.4032
_cell_length_c 6.5461
_cell_angle_alpha 114.37
_cell_angle_beta 114.37
_cell_angle_gamma 90.00
loop_
_symmetry_equiv_pos_as_xyz
'x,y,z'
loop_
_atom_site_label
_atom_site_type_symbol
_atom_site_fract_x
_atom_site_fract_y
_atom_site_fract_z
Y1 Y 0.2500 0.7500 0.5000
Y2 Y 0.0000 0.0000 0.0000
F1 F 0.6250 0.1063 0.7500
Na1 Na 0.5000 0.5000 0.0000
F2 F 0.1250 0.6437 0.7500
F3 F 0.3563 0.8750 0.2500
Na2 Na 0.7500 0.2500 0.5000
F4 F 0.6250 0.6437 0.7500
F5 F 0.8937 0.8750 0.2500
F6 F 0.3563 0.3750 0.2500
F7 F 0.8937 0.3750 0.2500
F8 F 0.1250 0.1063 0.7500
```



[7]
The following is a DFT calculation (meta-GGA SCAN) of a PBEsol-optimized structure of Na3YF.

Summary:
Its density of states at the Fermi level is 1.8 states/eV per cell. As for the space-group type: Pm-3m. The density comes out at 1.0 g/cm3. The value obtained for the raw formation energy is 0.51 eV/atom. The calculation puts the total energy at -41.46 eV for the cell shown. As for the magnetization: 3.01 μB per cell.

CIF file:
```
data_Na3YF
_symmetry_space_group_name_H-M 'P 1'
_symmetry_Int_Tables_number 1
_cell_length_a 6.7121
_cell_length_b 6.7121
_cell_length_c 6.7121
_cell_angle_alpha 90.00
_cell_angle_beta 90.00
_cell_angle_gamma 90.00
loop_
_symmetry_equiv_pos_as_xyz
'x,y,z'
loop_
_atom_site_label
_atom_site_type_symbol
_atom_site_fract_x
_atom_site_fract_y
_atom_site_fract_z
Y1 Y 0.0000 0.0000 0.0000
F1 F 0.5000 0.5000 0.5000
Na1 Na 0.0000 0.0000 0.5000
Na2 Na 0.0000 0.5000 0.0000
Na3 Na 0.5000 0.0000 0.0000
```



[8]
The following is a DFT calculation (meta-GGA SCAN) of a PBEsol-optimized structure of Na2YF.

Summary:
Its density of states at the Fermi level is 6.5 states/eV per cell. As for the space-group type: Fd-3m. The density comes out at 2.3 g/cm3. The value obtained for the raw formation energy is -0.90 eV/atom. The calculation puts the total energy at -86.86 eV for the cell shown. As for the magnetization: 4.59 μB per cell.

CIF file:
```
data_Na2YF
_symmetry_space_group_name_H-M 'P 1'
_symmetry_Int_Tables_number 1
_cell_length_a 6.8468
_cell_length_b 6.8468
_cell_length_c 6.8468
_cell_angle_alpha 60.00
_cell_angle_beta 60.00
_cell_angle_gamma 60.00
loop_
_symmetry_equiv_pos_as_xyz
'x,y,z'
loop_
_atom_site_label
_atom_site_type_symbol
_atom_site_fract_x
_atom_site_fract_y
_atom_site_fract_z
F1 F 0.2500 0.2500 0.2500
Na1 Na 0.6250 0.1250 0.1250
Y1 Y 0.5000 0.5000 0.5000
Na2 Na 0.1250 0.1250 0.6250
Y2 Y 0.7500 0.7500 0.7500
Na3 Na 0.1250 0.1250 0.1250
Na4 Na 0.1250 0.6250 0.1250
F2 F 0.0000 0.0000 0.0000
```